Entry 1:
VASP calculation (PBE) on crystalline Pm2Ge3PtRh4 at its relaxed geometry.

Cell lengths 4.206, 4.206, 10.480 Å; angles 90.00, 90.00, 90.00 degrees
Sites, in units of the cell vectors:
Pm 0.500 0.000 0.254
Pm 0.000 0.500 0.746
Pt 0.500 0.500 0.500
Rh 0.000 0.000 0.000
Rh 0.500 0.500 0.000
Ge 0.000 0.000 0.500
Ge 0.500 0.000 0.875
Rh 0.000 0.500 0.354
Rh 0.500 0.000 0.646
Ge 0.000 0.500 0.125

Formation enthalpy at 0 K   -804 meV/atom
Total magnetization   0.000 Bohr magnetons per cell
VASP energy   -66.8 eV for the cell shown

***

Entry 2:
VASP calculation (PBE) on crystalline BaGaBRh3 at its relaxed geometry.

Cell lengths 5.993, 6.045, 6.817 Å; angles 116.32, 90.00, 90.00 degrees
Sites, in units of the cell vectors:
Ba 0.750 0.253 0.506
Ga 0.250 0.395 0.789
Rh 0.500 0.764 0.000
Rh 0.250 0.188 0.376
Rh 0.750 0.812 0.624
Rh 0.000 0.236 0.000
Ga 0.750 0.605 0.211
Ba 0.250 0.747 0.494
B 0.750 0.979 0.957
Rh 0.000 0.764 0.000
B 0.250 0.021 0.043
Rh 0.500 0.236 0.000

Formation enthalpy at 0 K   -398 meV/atom
Total magnetization   0.000 Bohr magnetons per cell
VASP energy   -72.1 eV for the cell shown

***

- Look up the total magnetization of the second one.
  0.000 Bohr magnetons per cell

***

- Which of these has the highest formation enthalpy at 0 K?
  BaGaBRh3

***

- The highest VASP energy belongs to which entry?
  Pm2Ge3PtRh4

***

- VASP energy of number 2 (BaGaBRh3)?
  -72.1 eV for the cell shown